A plane-wave DFT calculation with PBE was carried out for a relaxed structure of KTiAuI2.

Cell lengths 6.154, 6.154, 5.909 Å; angles 90.00, 90.00, 90.00 degrees
Fractional coordinates of all 5 atoms:
K: 0.000 0.000 0.000
Ti: 0.000 0.000 0.500
Au: 0.500 0.500 0.500
I: 0.000 0.500 0.000
I: 0.500 0.000 0.000

Calculated values
* raw formation energy: 943 meV/atom
* symmetry: No. 123